Here is a relaxed NaLa2VHg crystal from Alexandria via LeMat-Bulk. Energies are from PBE.

Summary:
As for the total moment: 0.1 μB/cell. As for the formation energy: 1.1394 eV/atom. As for the total energy: -14.90 eV per cell. As for the crystal system: tetragonal. The symmetry is P4/mmm.

The structure in extended XYZ format:
```
5
Lattice="5.7271 0.0000 0.0000 0.0000 4.7441 0.0000 0.0000 0.0000 5.7271" Properties=species:S:1:pos:R:3 pbc="T T T"
Na 0.0000 0.0000 0.0000
V 0.0000 2.3721 0.0000
Hg 2.8636 2.3721 2.8636
La 0.0000 0.0000 2.8636
La 2.8636 0.0000 0.0000
```

***

Here is a relaxed Tb4BiOs crystal from Alexandria via LeMat-Bulk. Energies are from PBE.

Summary:
As for the total moment: 0.0 μB/cell. As for the formation energy: -0.4643 eV/atom. As for the total energy: -72.83 eV per cell. As for the crystal system: monoclinic. The symmetry is C2/c.

The structure in extended XYZ format:
```
12
Lattice="6.1947 -0.4245 0.0000 -2.1204 8.4566 0.0000 -2.0371 -4.0160 6.7780" Properties=species:S:1:pos:R:3 pbc="T T T"
Tb -1.8296 -1.7412 5.8267
Tb 2.0018 3.1167 4.5170
Tb -1.2677 1.9535 5.8267
Tb -1.0248 5.1276 4.5170
Tb 3.0620 -1.1116 2.2610
Tb 3.3048 2.0626 0.9513
Tb 0.0354 0.8993 2.2610
Tb 3.8668 5.7573 0.9513
Bi 0.4885 4.1222 1.7328
Bi 1.5487 -0.1061 5.0452
Os 1.5487 -0.1061 0.0068
Os 0.4885 4.1222 6.7712
```

***

Here is a relaxed LiTc2Sb crystal from Alexandria via LeMat-Bulk. Energies are from PBE.

Summary:
As for the uncorrected formation energy: 0.19 eV/atom. As for the total moment: 0.0 μB/cell. As for the total energy: -26.00 eV per cell. As for the crystal system: monoclinic. The symmetry is Cm.

The structure in extended XYZ format:
```
4
Lattice="-4.3749 -1.0762 -0.5013 -2.7534 -2.4419 -2.6468 0.0644 -4.1972 2.7203" Properties=species:S:1:pos:R:3 pbc="T T T"
Li -3.5442 -3.8604 -0.2214
Sb -1.7883 -2.0161 -0.0683
Tc -7.0441 -7.5823 -0.4975
Tc -5.2831 -5.8296 -0.2822
```

***

Here is a relaxed YTiHg3 crystal from Alexandria via LeMat-Bulk. Energies are from PBE.

Summary:
As for the total moment: 1.4 μB/cell. As for the formation energy: 0.2807 eV/atom. As for the total energy: -13.86 eV per cell. As for the crystal system: cubic. The symmetry is Pm-3m.

The structure in extended XYZ format:
```
5
Lattice="-2.6754 3.5713 2.6197 0.5518 -2.7679 4.3370 4.3946 2.5217 1.0503" Properties=species:S:1:pos:R:3 pbc="T T T"
Y 1.1355 1.6626 4.0035
Hg 0.2759 -1.3840 2.1685
Hg 2.1973 1.2609 0.5252
Hg -1.3377 1.7857 1.3098
Ti 0.0000 0.0000 0.0000
```

***

Here is a relaxed Ba12Tl5F2 crystal from Alexandria via LeMat-Bulk. Energies are from PBE.

Summary:
As for the uncorrected formation energy: -0.73 eV/atom. As for the total moment: 0.0 μB/cell. As for the total energy: -52.53 eV per cell. As for the crystal system: monoclinic. The symmetry is C2/m.

The structure in extended XYZ format:
```
19
Lattice="10.4980 0.0000 0.0000 -5.2490 8.4282 -0.4283 0.0000 -3.5459 10.3103" Properties=species:S:1:pos:R:3 pbc="T T T"
Ba 0.0000 0.1934 2.2059
Ba -2.1812 2.6570 9.4907
Ba 2.1812 2.6570 9.4907
Ba -2.4789 4.3599 3.9621
Ba 2.4789 4.3599 3.9621
Ba 5.2490 -2.5530 7.4347
Ba 0.0000 7.4353 2.4473
Ba 7.7279 0.5224 5.9199
Ba 2.7701 0.5224 5.9199
Ba 7.4302 2.2253 0.3913
Ba 3.0677 2.2253 0.3913
Ba 5.2490 4.6889 7.6761
Tl 0.0000 2.5901 6.3126
Tl 0.0000 3.9693 1.2865
Tl 0.0000 -1.7730 5.1551
Tl 5.2490 0.9130 8.5955
Tl 5.2490 2.2922 3.5694
F 8.8906 0.0000 0.0000
F 1.6074 0.0000 0.0000
```

***

Here is a relaxed Ni2MoW crystal from Alexandria via LeMat-Bulk. Energies are from PBE.

Summary:
As for the total moment: 0.0 μB/cell. As for the formation energy: 0.2225 eV/atom. As for the total energy: -34.46 eV per cell. As for the crystal system: trigonal. The symmetry is R-3m.

The structure in extended XYZ format:
```
4
Lattice="-6.7361 4.2641 -3.9928 -5.3154 3.6155 -6.1786 -7.0514 1.8522 -5.1329" Properties=species:S:1:pos:R:3 pbc="T T T"
Mo -14.3271 7.2988 -11.4782
Ni -0.0026 0.0013 -0.0021
Ni -9.5488 4.8646 -7.6501
W -4.7757 2.4329 -3.8261
```

***

Here is a relaxed Hf4CuN crystal from Alexandria via LeMat-Bulk. Energies are from PBE.

Summary:
As for the uncorrected formation energy: -0.42 eV/atom. As for the total moment: 0.0 μB/cell. As for the total energy: -109.55 eV per cell. As for the crystal system: orthorhombic. The symmetry is Pnc2.

The structure in extended XYZ format:
```
12
Lattice="-2.9472 -3.6731 -2.1183 4.2334 -0.6510 -4.7610 3.2985 -4.7095 3.5770" Properties=species:S:1:pos:R:3 pbc="T T T"
Hf 3.3639 -2.0692 -4.2500
Hf 3.3505 -5.1982 1.2824
Hf 1.6650 -2.8886 -0.5322
Hf 5.0182 -4.4177 -2.4579
Hf 2.0946 -4.9671 -3.6649
Hf 0.3778 -5.7742 0.0352
Hf -1.2665 -3.4132 -1.7496
Hf 3.7076 -7.3670 -1.9024
Cu 2.5477 -0.9409 -1.9131
Cu 2.7234 -5.1322 -1.1838
N 2.8813 -4.1138 3.1245
N -0.2416 -3.5956 0.2769
```

***

Here is a relaxed LiCl3 crystal from Alexandria via LeMat-Bulk. Energies are from PBE.

Summary:
As for the uncorrected formation energy: -0.50 eV/atom. As for the total moment: 1.1 μB/cell. As for the total energy: -9.44 eV per cell. As for the crystal system: trigonal. The symmetry is R-3m.

The structure in extended XYZ format:
```
4
Lattice="-1.7495 -3.1756 -3.2616 2.4603 -2.4005 3.4595 -3.6912 2.4584 2.0285" Properties=species:S:1:pos:R:3 pbc="T T T"
Cl 0.0000 0.0000 0.0000
Cl 0.3554 -2.7880 0.0990
Cl -0.6155 0.0289 2.7440
Li -2.7204 -0.3586 -0.6166
```

***

Here is a relaxed TePbS crystal from Alexandria via LeMat-Bulk. Energies are from PBE.

Summary:
As for the uncorrected formation energy: 0.01 eV/atom. As for the total moment: 0.0 μB/cell. As for the total energy: -65.70 eV per cell. As for the crystal system: hexagonal. The symmetry is P-62c.

The structure in extended XYZ format:
```
18
Lattice="8.9562 0.0000 0.0000 -4.4781 7.7563 0.0000 0.0000 0.0000 7.9189" Properties=species:S:1:pos:R:3 pbc="T T T"
S 6.5170 3.6809 5.9392
S 4.4073 0.2720 5.9392
S 2.5099 3.8035 5.9392
S -0.0708 7.4843 1.9797
S -1.9682 3.9528 1.9797
S 2.0389 4.0754 1.9797
Pb 0.0000 0.0000 5.9392
Pb 0.0000 0.0000 1.9797
Pb 0.0000 5.1709 0.1787
Pb 0.0000 5.1709 3.7808
Pb 4.4781 2.5854 7.7402
Pb 4.4781 2.5854 4.1381
Te -1.1844 2.0515 0.0000
Te 2.3688 0.0000 0.0000
Te 3.2937 5.7048 0.0000
Te -1.1844 2.0515 3.9594
Te 2.3688 0.0000 3.9594
Te 3.2937 5.7048 3.9594
```

***

Here is a relaxed TbY2Mg4 crystal from Alexandria via LeMat-Bulk. Energies are from PBE.

Summary:
As for the total moment: 0.5 μB/cell. As for the formation energy: 0.1248 eV/atom. As for the total energy: -23.06 eV per cell. As for the crystal system: tetragonal. The symmetry is I4/mmm.

The structure in extended XYZ format:
```
7
Lattice="5.1482 0.0000 -1.6411 -0.5231 5.1216 -1.6411 -0.2418 -0.2677 8.1373" Properties=species:S:1:pos:R:3 pbc="T T T"
Tb 0.0000 0.0000 0.0000
Y 3.3433 3.7022 1.5924
Y 1.0401 1.1517 3.2627
Mg 1.3232 4.3156 4.1508
Mg 4.1588 1.7548 4.1508
Mg 3.0602 0.5382 0.7042
Mg 0.2245 3.0990 0.7042
```

***

Here is a relaxed PrDy12Sc2 crystal from Alexandria via LeMat-Bulk. Energies are from PBE.

Summary:
As for the total moment: 0.0 μB/cell. As for the formation energy: 0.1180 eV/atom. As for the total energy: -141.80 eV per cell. As for the crystal system: monoclinic. The symmetry is P2/m.

The structure in extended XYZ format:
```
30
Lattice="5.8346 0.9927 -0.9916 0.9927 5.8346 0.9915 -3.0517 3.0517 29.9944" Properties=species:S:1:pos:R:3 pbc="T T T"
Pr -0.1344 3.5481 29.4985
Pr 0.4964 2.9173 0.4959
Dy 1.7041 5.1232 23.7634
Dy -0.7169 7.5441 24.7550
Dy 2.5542 7.6867 25.9817
Dy -0.0090 6.8362 28.1878
Dy 0.3192 6.5081 10.4989
Dy 1.3636 5.4637 2.7981
Dy 2.7758 4.0514 16.1419
Dy 2.7402 4.0872 9.5073
Dy -0.8594 4.2731 25.9816
Dy 4.6350 5.6059 4.0126
Dy 0.2090 3.2047 18.3606
Dy 3.4207 3.4066 12.8609
Dy 3.4564 3.3709 19.4955
Dy 0.1530 3.2607 11.6338
Dy 1.2214 2.1923 4.0128
Dy 3.5666 6.6743 11.6339
Dy 3.6226 6.6183 18.3605
Dy 4.4924 2.3348 5.2394
Dy 0.3549 6.4724 17.1335
Dy 1.0355 5.7919 20.4871
Dy 2.4120 4.4153 27.1963
Dy 2.0715 4.7558 6.2310
Dy 0.9997 5.8275 13.8524
Dy 3.7845 3.0427 1.8065
Sc 1.9077 1.5060 7.3649
Sc 5.3214 4.9195 7.3648
Sc -1.5457 4.9594 22.6294
Sc 1.8678 8.3731 22.6296
```

***

Here is a relaxed RuS crystal from Alexandria via LeMat-Bulk. Energies are from PBE.

Summary:
As for the uncorrected formation energy: -0.21 eV/atom. As for the total moment: 0.0 μB/cell. As for the total energy: -55.32 eV per cell. As for the crystal system: orthorhombic. The symmetry is Cmc2_1.

The structure in extended XYZ format:
```
8
Lattice="-1.0742 1.7856 2.0995 -3.2401 -6.1192 3.5466 4.3557 -0.6797 2.8066" Properties=species:S:1:pos:R:3 pbc="T T T"
Ru -1.4836 -5.9802 4.3270
Ru 3.5303 -0.9639 2.6260
Ru -0.4007 -2.0278 3.6035
Ru 1.3732 -3.1307 5.4491
S 1.8421 -2.6012 3.1548
S -1.3126 -4.1062 2.8207
S -0.3150 -4.7680 5.9778
S -0.2297 -0.1538 2.0972
```

***

Q: Look up the total moment of the second one.
A: 0.0 μB/cell